{
  "formula": "AsPtNO",
  "functional": "PBE",
  "state": "optimized geometry",
  "cell": [[3.0188, 0.0000, 0.0000], [0.0000, 7.0412, 0.0000], [0.0000, 0.0000, 5.4664]],
  "species": ["As", "As", "Pt", "Pt", "N", "N", "O", "O"],
  "frac_coords": [[0.0000, 0.1476, 0.0000], [0.0000, 0.8524, 0.5000], [0.5000, 0.4793, 0.6050], [0.5000, 0.5207, 0.1050], [0.5000, 0.2890, 0.8772], [0.5000, 0.7110, 0.3772], [0.0000, 0.0727, 0.3462], [0.0000, 0.9273, 0.8462]],
  "e_above_lowest_polymorph_mev_per_atom": 16.6,
  "m_tot_mub_per_fu": 0.00
}

---

{
  "formula": "AsPtNO",
  "functional": "PBE",
  "state": "optimized geometry",
  "cell": [[2.8454, 0.0000, 0.0000], [0.0000, 6.1623, 0.0000], [0.0000, 0.0000, 7.0407]],
  "species": ["As", "As", "Pt", "Pt", "N", "N", "O", "O"],
  "frac_coords": [[0.0000, 0.2135, 0.0000], [0.0000, 0.7865, 0.5000], [0.5000, 0.1996, 0.2957], [0.5000, 0.8004, 0.7957], [0.0000, 0.0857, 0.4656], [0.0000, 0.9143, 0.9656], [0.5000, 0.3245, 0.8598], [0.5000, 0.6755, 0.3598]],
  "e_above_lowest_polymorph_mev_per_atom": 0.0,
  "m_tot_mub_per_fu": 0.00
}

---

{
  "formula": "AsPtNO",
  "functional": "PBE",
  "state": "optimized geometry",
  "cell": [[4.0865, 0.0000, 0.0000], [0.0000, 4.0865, 0.0000], [0.0000, 0.0000, 6.3691]],
  "species": ["As", "As", "Pt", "Pt", "N", "N", "O", "O"],
  "frac_coords": [[0.2500, 0.7500, 0.0000], [0.7500, 0.2500, 0.0000], [0.2500, 0.2500, 0.4107], [0.7500, 0.7500, 0.5893], [0.2500, 0.2500, 0.9151], [0.7500, 0.7500, 0.0849], [0.2500, 0.7500, 0.5000], [0.7500, 0.2500, 0.5000]],
  "e_above_lowest_polymorph_mev_per_atom": 629.0,
  "m_tot_mub_per_fu": 0.00
}

---

{
  "formula": "AsPtNO",
  "functional": "PBE",
  "state": "optimized geometry",
  "cell": [[4.0546, 0.0000, 0.0000], [0.0000, 4.0546, 0.0000], [0.0000, 0.0000, 6.2694]],
  "species": ["As", "As", "Pt", "Pt", "N", "N", "O", "O"],
  "frac_coords": [[0.2500, 0.2500, 0.1434], [0.7500, 0.7500, 0.8566], [0.2500, 0.7500, 0.5000], [0.7500, 0.2500, 0.5000], [0.2500, 0.2500, 0.5905], [0.7500, 0.7500, 0.4095], [0.2500, 0.7500, 0.0000], [0.7500, 0.2500, 0.0000]],
  "e_above_lowest_polymorph_mev_per_atom": 393.3,
  "m_tot_mub_per_fu": 0.00
}